{"formula": "KAgTe2OsSe", "functional": "GGA-PBE", "state": "optimized geometry", "magmom_total_mub_per_cell": 0.03, "dft_energy_ev_per_cell": -50.6, "lattice": [[1.5632, 1.3364, 7.8628], [-5.1095, -1.9928, -5.9980], [2.4571, -9.8881, 1.1922]], "species": ["Ag", "Ag", "K", "K", "Os", "Os", "Se", "Se", "Te", "Te", "Te", "Te"], "frac_coords": [[0.9549, 0.0451, 0.2500], [0.0451, 0.9549, 0.7500], [0.2634, 0.7366, 0.2500], [0.7366, 0.2634, 0.7500], [0.5000, 0.5000, 0.0000], [0.5000, 0.5000, 0.5000], [0.5645, 0.4355, 0.2500], [0.4355, 0.5645, 0.7500], [0.8857, 0.1143, 0.0122], [0.8857, 0.1143, 0.4878], [0.1143, 0.8857, 0.5122], [0.1143, 0.8857, 0.9878]]}